Entry 1:
# NdGd2Ru, relaxed, DFT GGA-PBE
data_NdGd2Ru
_symmetry_space_group_name_H-M 'P 4/m m m'
_symmetry_Int_Tables_number 123
_symmetry_space_group_name_Hall '-P 4 2'
_cell_length_a 3.4705
_cell_length_b 3.4705
_cell_length_c 9.1404
_cell_angle_alpha 90.00
_cell_angle_beta 90.00
_cell_angle_gamma 90.00
loop_
_atom_site_label
_atom_site_type_symbol
_atom_site_fract_x
_atom_site_fract_y
_atom_site_fract_z
_atom_site_occupancy
Nd1 Nd 0.0000 0.0000 0.0000 1
Gd1 Gd 0.5000 0.5000 0.3187 1
Ru1 Ru 0.0000 0.0000 0.5000 1
# E_form: -176 meV/atom
# DOS at the Fermi energy: 3.35 states/eV/cell

---

Entry 2:
# NdGd3Ru, relaxed, DFT GGA-PBE
data_NdGd3Ru
_symmetry_space_group_name_H-M 'P m -3 m'
_symmetry_Int_Tables_number 221
_symmetry_space_group_name_Hall '-P 4 2 3'
_cell_length_a 5.4411
_cell_length_b 5.4411
_cell_length_c 5.4411
_cell_angle_alpha 90.00
_cell_angle_beta 90.00
_cell_angle_gamma 90.00
loop_
_atom_site_label
_atom_site_type_symbol
_atom_site_fract_x
_atom_site_fract_y
_atom_site_fract_z
_atom_site_occupancy
Nd1 Nd 0.0000 0.0000 0.0000 1
Gd1 Gd 0.0000 0.5000 0.5000 1
Ru1 Ru 0.5000 0.5000 0.5000 1
# E_form: -79 meV/atom
# DOS at the Fermi energy: 5.86 states/eV/cell

---

Entry 3:
# NdGdRu4, relaxed, DFT GGA-PBE
data_NdGdRu4
_symmetry_space_group_name_H-M 'F -4 3 m'
_symmetry_Int_Tables_number 216
_symmetry_space_group_name_Hall 'F -4 2 3'
_cell_length_a 7.6254
_cell_length_b 7.6254
_cell_length_c 7.6254
_cell_angle_alpha 90.00
_cell_angle_beta 90.00
_cell_angle_gamma 90.00
loop_
_atom_site_label
_atom_site_type_symbol
_atom_site_fract_x
_atom_site_fract_y
_atom_site_fract_z
_atom_site_occupancy
Nd1 Nd 0.0000 0.0000 0.0000 1
Gd1 Gd 0.2500 0.2500 0.7500 1
Ru1 Ru 0.1248 0.1248 0.3752 1
# E_form: -195 meV/atom
# DOS at the Fermi energy: 25.89 states/eV/cell

---

Entry 4:
# NdGdRu2, relaxed, DFT GGA-PBE
data_NdGdRu2
_symmetry_space_group_name_H-M 'P 4/m m m'
_symmetry_Int_Tables_number 123
_symmetry_space_group_name_Hall '-P 4 2'
_cell_length_a 3.4701
_cell_length_b 3.4701
_cell_length_c 6.9443
_cell_angle_alpha 90.00
_cell_angle_beta 90.00
_cell_angle_gamma 90.00
loop_
_atom_site_label
_atom_site_type_symbol
_atom_site_fract_x
_atom_site_fract_y
_atom_site_fract_z
_atom_site_occupancy
Nd1 Nd 0.0000 0.0000 0.0000 1
Gd1 Gd 0.0000 0.0000 0.5000 1
Ru1 Ru 0.5000 0.5000 0.2558 1
# E_form: -150 meV/atom
# DOS at the Fermi energy: 4.97 states/eV/cell

---

Entry 5:
# NdGdSnRu, relaxed, DFT GGA-PBE
data_NdGdSnRu
_symmetry_space_group_name_H-M 'F -4 3 m'
_symmetry_Int_Tables_number 216
_symmetry_space_group_name_Hall 'F -4 2 3'
_cell_length_a 7.3293
_cell_length_b 7.3293
_cell_length_c 7.3293
_cell_angle_alpha 90.00
_cell_angle_beta 90.00
_cell_angle_gamma 90.00
loop_
_atom_site_label
_atom_site_type_symbol
_atom_site_fract_x
_atom_site_fract_y
_atom_site_fract_z
_atom_site_occupancy
Nd1 Nd 0.0000 0.0000 0.0000 1
Gd1 Gd 0.0000 0.0000 0.5000 1
Sn1 Sn 0.2500 0.2500 0.2500 1
Ru1 Ru 0.2500 0.2500 0.7500 1
# E_form: -325 meV/atom
# DOS at the Fermi energy: 10.63 states/eV/cell

---

Entry 6:
# NdGdTmRu, relaxed, DFT GGA-PBE
data_NdGdTmRu
_symmetry_space_group_name_H-M 'F -4 3 m'
_symmetry_Int_Tables_number 216
_symmetry_space_group_name_Hall 'F -4 2 3'
_cell_length_a 7.3681
_cell_length_b 7.3681
_cell_length_c 7.3681
_cell_angle_alpha 90.00
_cell_angle_beta 90.00
_cell_angle_gamma 90.00
loop_
_atom_site_label
_atom_site_type_symbol
_atom_site_fract_x
_atom_site_fract_y
_atom_site_fract_z
_atom_site_occupancy
Nd1 Nd 0.0000 0.0000 0.0000 1
Gd1 Gd 0.0000 0.0000 0.5000 1
Tm1 Tm 0.2500 0.2500 0.2500 1
Ru1 Ru 0.2500 0.2500 0.7500 1
# E_form: 133 meV/atom
# DOS at the Fermi energy: 24.47 states/eV/cell